No. 1
{"formula": "Ac2Tl6Pb", "functional": "PBE", "state": "relaxed", "lattice_angstrom": [[-2.846, 1.182, -5.783], [-0.477, -7.021, -1.199], [-5.790, -3.601, 2.115]], "species": ["Ac", "Ac", "Tl", "Tl", "Tl", "Tl", "Tl", "Tl", "Pb"], "fractional_positions": [[0.837, 0.667, 0.667], [0.163, 0.333, 0.333], [0.330, 0.366, 0.817], [0.329, 0.817, 0.817], [0.330, 0.817, 0.366], [0.670, 0.634, 0.183], [0.671, 0.183, 0.183], [0.670, 0.183, 0.634], [0.000, 0.000, 0.000]], "e_form_mev_per_atom": -177, "spacegroup": "P-3m1"}

---

No. 2
{"formula": "AcTmTlPb", "functional": "PBE", "state": "relaxed", "lattice_angstrom": [[-3.313, 0.793, 4.482], [-3.658, -3.994, 1.538], [0.878, -2.960, 4.708]], "species": ["Pb", "Ac", "Tm", "Tl"], "fractional_positions": [[0.500, 0.500, 0.500], [0.750, 0.750, 0.750], [0.250, 0.250, 0.250], [0.000, 0.000, 0.000]], "e_form_mev_per_atom": -332, "spacegroup": "F-43m"}

---

No. 3
{"formula": "AcTlZnPb", "functional": "PBE", "state": "relaxed", "lattice_angstrom": [[5.509, 0.000, 0.000], [2.755, 4.771, 0.000], [2.755, 1.590, 4.498]], "species": ["Pb", "Zn", "Ac", "Tl"], "fractional_positions": [[0.250, 0.250, 0.250], [0.000, 0.000, 0.000], [0.750, 0.750, 0.750], [0.500, 0.500, 0.500]], "e_form_mev_per_atom": -198, "spacegroup": "F-43m"}

---

No. 4
{"formula": "Ac6TmPb2", "functional": "PBE", "state": "relaxed", "lattice_angstrom": [[5.449, 0.000, 0.000], [2.725, 7.584, -1.472], [2.725, 1.610, 8.303]], "species": ["Ac", "Ac", "Ac", "Ac", "Ac", "Ac", "Tm", "Pb", "Pb"], "fractional_positions": [[0.685, 0.791, 0.840], [0.315, 0.209, 0.160], [0.025, 0.791, 0.160], [0.332, 0.836, 0.500], [0.975, 0.209, 0.840], [0.668, 0.164, 0.500], [0.000, 0.500, 0.500], [0.359, 0.500, 0.781], [0.641, 0.500, 0.219]], "e_form_mev_per_atom": -191, "spacegroup": "Fmmm"}

---

No. 5
{"formula": "AcTm3Pb2", "functional": "PBE", "state": "relaxed", "lattice_angstrom": [[-0.238, 4.568, -1.742], [-8.157, -0.966, 5.458], [8.331, 2.140, 4.470]], "species": ["Ac", "Ac", "Tm", "Tm", "Tm", "Tm", "Tm", "Tm", "Pb", "Pb", "Pb", "Pb"], "fractional_positions": [[0.865, 0.730, 0.921], [0.135, 0.270, 0.079], [0.310, 0.620, 0.553], [0.945, 0.890, 0.600], [0.593, 0.187, 0.678], [0.407, 0.813, 0.322], [0.055, 0.110, 0.400], [0.690, 0.380, 0.447], [0.484, 0.968, 0.832], [0.516, 0.032, 0.168], [0.787, 0.575, 0.252], [0.213, 0.425, 0.748]], "e_form_mev_per_atom": -301, "spacegroup": "C2/m"}

---

No. 6
{"formula": "Ac2TmPb2", "functional": "PBE", "state": "relaxed", "lattice_angstrom": [[5.322, 0.000, 0.000], [0.000, 7.020, 0.000], [-2.661, 0.000, 9.693]], "species": ["Ac", "Ac", "Ac", "Ac", "Tm", "Tm", "Pb", "Pb", "Pb", "Pb"], "fractional_positions": [[0.000, 0.727, 0.000], [0.803, 0.477, 0.605], [0.197, 0.977, 0.395], [0.000, 0.227, 0.000], [0.399, 0.976, 0.798], [0.601, 0.476, 0.202], [0.424, 0.477, 0.849], [0.821, 0.977, 0.642], [0.179, 0.477, 0.358], [0.576, 0.977, 0.151]], "e_form_mev_per_atom": -430, "spacegroup": "Cmc2_1"}

---

No. 7
{"formula": "Ac6TmPb10", "functional": "PBE", "state": "relaxed", "lattice_angstrom": [[-5.380, -4.167, -0.728], [6.079, -7.933, 0.491], [-4.029, 3.741, 8.361]], "species": ["Ac", "Ac", "Ac", "Ac", "Ac", "Ac", "Tm", "Pb", "Pb", "Pb", "Pb", "Pb", "Pb", "Pb", "Pb", "Pb", "Pb"], "fractional_positions": [[0.739, 0.391, 0.391], [0.739, 0.000, 0.609], [0.739, 0.609, 0.000], [0.261, 0.609, 0.609], [0.261, 0.000, 0.391], [0.261, 0.391, 0.000], [0.500, 0.000, 0.000], [0.807, 0.763, 0.763], [0.807, 0.000, 0.237], [0.807, 0.237, 0.000], [0.193, 0.237, 0.237], [0.193, 0.000, 0.763], [0.193, 0.763, 0.000], [0.500, 0.333, 0.667], [0.500, 0.667, 0.333], [0.000, 0.667, 0.333], [0.000, 0.333, 0.667]], "e_form_mev_per_atom": -394, "spacegroup": "P-31m"}

---

No. 8
{"formula": "AcTmPb", "functional": "PBE", "state": "relaxed", "lattice_angstrom": [[-4.283, -1.393, -1.744], [2.060, -1.015, -4.249], [1.587, -8.339, 2.764]], "species": ["Ac", "Ac", "Tm", "Tm", "Pb", "Pb"], "fractional_positions": [[0.814, 0.866, 0.570], [0.314, 0.367, 0.269], [0.814, 0.366, 0.920], [0.314, 0.866, 0.920], [0.814, 0.867, 0.165], [0.314, 0.366, 0.674]], "e_form_mev_per_atom": -413, "spacegroup": "P4/nmm"}

---

No. 9
{"formula": "AcTmPb", "functional": "PBE", "state": "relaxed", "lattice_angstrom": [[3.796, 0.000, 0.000], [0.000, 3.796, 0.000], [-1.898, -1.898, 7.149]], "species": ["Pb", "Ac", "Tm"], "fractional_positions": [[0.655, 0.655, 0.311], [0.326, 0.326, 0.653], [0.018, 0.018, 0.036]], "e_form_mev_per_atom": -222, "spacegroup": "I4mm"}

---

No. 10
{"formula": "Ac5TmPb3", "functional": "PBE", "state": "relaxed", "lattice_angstrom": [[7.249, 0.000, 0.000], [0.000, 10.305, 0.000], [0.000, -5.152, 8.923]], "species": ["Ac", "Ac", "Ac", "Ac", "Ac", "Ac", "Ac", "Ac", "Ac", "Ac", "Tm", "Tm", "Pb", "Pb", "Pb", "Pb", "Pb", "Pb"], "fractional_positions": [[0.000, 0.667, 0.333], [0.500, 0.333, 0.667], [0.000, 0.333, 0.667], [0.500, 0.667, 0.333], [0.750, 0.692, 0.692], [0.750, 0.000, 0.308], [0.750, 0.308, 0.000], [0.250, 0.308, 0.308], [0.250, 0.000, 0.692], [0.250, 0.692, 0.000], [0.000, 0.000, 0.000], [0.500, 0.000, 0.000], [0.750, 0.353, 0.353], [0.750, 0.000, 0.647], [0.750, 0.647, 0.000], [0.250, 0.647, 0.647], [0.250, 0.000, 0.353], [0.250, 0.353, 0.000]], "e_form_mev_per_atom": -315, "spacegroup": "P6_3/mcm"}

---

No. 11
{"formula": "AcTm4Pb4", "functional": "PBE", "state": "relaxed", "lattice_angstrom": [[-3.625, -3.142, 3.115], [6.889, -0.792, 7.217], [-3.534, 8.325, 4.287]], "species": ["Ac", "Ac", "Tm", "Tm", "Tm", "Tm", "Tm", "Tm", "Tm", "Tm", "Pb", "Pb", "Pb", "Pb", "Pb", "Pb", "Pb", "Pb"], "fractional_positions": [[0.000, 0.000, 0.000], [0.500, 0.500, 0.500], [0.398, 0.409, 0.864], [0.898, 0.636, 0.909], [0.398, 0.591, 0.136], [0.102, 0.091, 0.636], [0.602, 0.864, 0.591], [0.102, 0.909, 0.364], [0.898, 0.364, 0.091], [0.602, 0.136, 0.409], [0.589, 0.878, 0.231], [0.589, 0.122, 0.769], [0.089, 0.731, 0.622], [0.911, 0.378, 0.731], [0.911, 0.622, 0.269], [0.411, 0.231, 0.122], [0.411, 0.769, 0.878], [0.089, 0.269, 0.378]], "e_form_mev_per_atom": -261, "spacegroup": "P4_2/n"}

---

No. 12
{"formula": "Ac3TmPb5", "functional": "PBE", "state": "relaxed", "lattice_angstrom": [[6.874, 0.000, 0.000], [0.000, 10.085, 0.000], [0.000, -5.043, 8.734]], "species": ["Ac", "Ac", "Ac", "Ac", "Ac", "Ac", "Tm", "Tm", "Pb", "Pb", "Pb", "Pb", "Pb", "Pb", "Pb", "Pb", "Pb", "Pb"], "fractional_positions": [[0.750, 0.383, 0.000], [0.750, 0.617, 0.617], [0.750, 0.000, 0.383], [0.250, 0.617, 0.000], [0.250, 0.383, 0.383], [0.250, 0.000, 0.617], [0.000, 0.000, 0.000], [0.500, 0.000, 0.000], [0.000, 0.333, 0.667], [0.500, 0.667, 0.333], [0.000, 0.667, 0.333], [0.500, 0.333, 0.667], [0.750, 0.728, 0.000], [0.750, 0.272, 0.272], [0.750, 0.000, 0.728], [0.250, 0.272, 0.000], [0.250, 0.728, 0.728], [0.250, 0.000, 0.272]], "e_form_mev_per_atom": -482, "spacegroup": "P6_3/mcm"}

---

No. 13
{"formula": "Ac2TmPb", "functional": "PBE", "state": "relaxed", "lattice_angstrom": [[-0.368, 0.892, 5.823], [-3.706, -3.243, 3.254], [2.122, -4.040, 3.744]], "species": ["Pb", "Ac", "Ac", "Tm"], "fractional_positions": [[0.000, 0.000, 0.000], [0.250, 0.250, 0.250], [0.750, 0.750, 0.750], [0.500, 0.500, 0.500]], "e_form_mev_per_atom": -90, "spacegroup": "Fm-3m"}

---

No. 14
{"formula": "AcTmPb", "functional": "PBE", "state": "relaxed", "lattice_angstrom": [[4.531, 0.000, 0.000], [0.000, 5.208, 0.000], [0.000, -2.604, 4.510]], "species": ["Pb", "Ac", "Tm"], "fractional_positions": [[0.834, 0.667, 0.333], [0.333, 0.333, 0.667], [0.833, 0.000, 0.000]], "e_form_mev_per_atom": -270, "spacegroup": "P-6m2"}

---

No. 15
{"formula": "Ac2TmPb", "functional": "PBE", "state": "relaxed", "lattice_angstrom": [[-3.298, 0.780, -1.433], [-2.288, -2.724, -0.941], [-6.946, -0.457, 11.015]], "species": ["Pb", "Ac", "Ac", "Tm"], "fractional_positions": [[0.500, 0.500, 0.500], [0.091, 0.091, 0.728], [0.909, 0.909, 0.272], [0.000, 0.000, 0.000]], "e_form_mev_per_atom": 142, "spacegroup": "R-3m"}

---

No. 16
{"formula": "Ac2TmPb2", "functional": "PBE", "state": "relaxed", "lattice_angstrom": [[-2.648, 4.059, -0.349], [-1.567, 2.411, 6.099], [3.507, 5.375, 2.069]], "species": ["Ac", "Ac", "Tm", "Pb", "Pb"], "fractional_positions": [[0.799, 0.701, 0.701], [0.201, 0.299, 0.299], [0.000, 0.000, 0.000], [0.500, 0.728, 0.272], [0.500, 0.272, 0.728]], "e_form_mev_per_atom": -475, "spacegroup": "Immm"}

---

No. 17
{"formula": "Ac2TmPb", "functional": "PBE", "state": "relaxed", "lattice_angstrom": [[-2.434, -1.506, 3.443], [2.569, -3.661, 0.215], [4.487, 3.422, 4.669]], "species": ["Pb", "Ac", "Ac", "Tm"], "fractional_positions": [[0.500, 0.500, 0.000], [0.000, 0.000, 0.764], [0.000, 0.000, 0.236], [0.500, 0.500, 0.500]], "e_form_mev_per_atom": -179, "spacegroup": "P4/mmm"}

---

No. 18
{"formula": "Ac3TmPb12", "functional": "PBE", "state": "relaxed", "lattice_angstrom": [[-1.195, 3.242, -3.671], [3.380, -2.189, -3.034], [-13.950, -12.516, -6.512]], "species": ["Ac", "Ac", "Ac", "Tm", "Pb", "Pb", "Pb", "Pb", "Pb", "Pb", "Pb", "Pb", "Pb", "Pb", "Pb", "Pb"], "fractional_positions": [[0.000, 0.000, 0.244], [0.000, 0.000, 0.500], [0.000, 0.000, 0.756], [0.000, 0.000, 0.000], [0.500, 0.500, 0.000], [0.500, 0.500, 0.244], [0.500, 0.500, 0.500], [0.500, 0.500, 0.756], [0.500, 0.000, 0.115], [0.500, 0.000, 0.372], [0.500, 0.000, 0.628], [0.500, 0.000, 0.885], [0.000, 0.500, 0.115], [0.000, 0.500, 0.372], [0.000, 0.500, 0.628], [0.000, 0.500, 0.885]], "e_form_mev_per_atom": -367, "spacegroup": "P4/mmm"}

---

No. 19
{"formula": "AcTmPb6", "functional": "PBE", "state": "relaxed", "lattice_angstrom": [[4.996, 0.000, 0.000], [0.000, 4.996, 0.000], [0.000, 0.000, 9.817]], "species": ["Ac", "Tm", "Pb", "Pb", "Pb", "Pb", "Pb", "Pb"], "fractional_positions": [[0.000, 0.000, 0.000], [0.000, 0.000, 0.500], [0.500, 0.500, 0.000], [0.500, 0.500, 0.500], [0.500, 0.000, 0.264], [0.500, 0.000, 0.736], [0.000, 0.500, 0.264], [0.000, 0.500, 0.736]], "e_form_mev_per_atom": -316, "spacegroup": "P4/mmm"}

---

No. 20
{"formula": "Ac4TmPb2", "functional": "PBE", "state": "relaxed", "lattice_angstrom": [[8.422, -0.882, 1.322], [-1.588, 10.193, -2.369], [-1.978, -6.799, 7.699]], "species": ["Ac", "Ac", "Ac", "Ac", "Ac", "Ac", "Ac", "Ac", "Tm", "Tm", "Pb", "Pb", "Pb", "Pb"], "fractional_positions": [[0.915, 0.111, 0.234], [0.335, 0.567, 0.194], [0.862, 0.552, 0.720], [0.859, 0.063, 0.800], [0.360, 0.003, 0.241], [0.388, 0.127, 0.709], [0.391, 0.615, 0.628], [0.890, 0.676, 0.187], [0.025, 0.616, 0.445], [0.225, 0.063, 0.984], [0.548, 0.625, 0.937], [0.702, 0.053, 0.491], [0.625, 0.340, 0.215], [0.125, 0.339, 0.714]], "e_form_mev_per_atom": -179, "spacegroup": "P-1"}

---

No. 21
{"formula": "AcTmPb", "functional": "PBE", "state": "relaxed", "lattice_angstrom": [[-5.190, 0.112, -1.597], [-2.928, -4.574, -0.040], [-3.975, -0.711, 3.632]], "species": ["Pb", "Ac", "Tm"], "fractional_positions": [[0.250, 0.250, 0.250], [0.500, 0.500, 0.500], [0.000, 0.000, 0.000]], "e_form_mev_per_atom": -123, "spacegroup": "F-43m"}

---

No. 22
{"formula": "AcTm5Pb6", "functional": "PBE", "state": "relaxed", "lattice_angstrom": [[4.925, 0.004, -1.515], [-0.971, 8.223, -3.133], [0.102, -1.289, 9.092]], "species": ["Pb", "Pb", "Pb", "Pb", "Pb", "Pb", "Ac", "Tm", "Tm", "Tm", "Tm", "Tm"], "fractional_positions": [[0.172, 0.428, 0.343], [0.172, 0.916, 0.343], [0.500, 0.263, 0.000], [0.500, 0.737, 0.000], [0.828, 0.084, 0.657], [0.828, 0.572, 0.657], [0.000, 0.000, 0.000], [0.330, 0.830, 0.660], [0.669, 0.669, 0.338], [0.000, 0.500, 0.000], [0.331, 0.331, 0.662], [0.670, 0.170, 0.340]], "e_form_mev_per_atom": -367, "spacegroup": "Immm"}

---

No. 23
{"formula": "Ac5TmPb6", "functional": "PBE", "state": "relaxed", "lattice_angstrom": [[-5.053, 3.346, -0.626], [-3.710, -6.096, -2.637], [-5.579, -4.284, 6.778]], "species": ["Pb", "Pb", "Pb", "Pb", "Pb", "Pb", "Ac", "Ac", "Ac", "Ac", "Ac", "Tm"], "fractional_positions": [[0.808, 0.612, 0.310], [0.808, 0.078, 0.310], [0.500, 0.775, 0.000], [0.500, 0.225, 0.000], [0.192, 0.922, 0.690], [0.192, 0.388, 0.690], [0.710, 0.177, 0.646], [0.320, 0.333, 0.334], [0.000, 0.500, 0.000], [0.680, 0.667, 0.666], [0.290, 0.823, 0.354], [0.000, 0.000, 0.000]], "e_form_mev_per_atom": -463, "spacegroup": "C2/m"}